PmHg3: optimized geometry, PBE-GGA.

Values from the calculation:
- Energy: -1.777 eV per atom
- Calculated formation energy: -0.36 eV per atom
- V: 99.1 Å³/f.u.

POSCAR file:
```
PmHg3
1.0
-2.5761 2.5761 3.7335
2.5761 -2.5761 3.7335
2.5761 2.5761 -3.7335
Pm Hg
1 3
Direct
0.0000 0.0000 0.0000
0.2500 0.7500 0.5000
0.5000 0.5000 0.0000
0.7500 0.2500 0.5000
```

=====

NdZn11Pd: optimized geometry, PBE-GGA.

Values from the calculation:
- Energy: -2.106 eV per atom
- Calculated formation energy: -0.26 eV per atom
- V: 210.8 Å³/f.u.

POSCAR file:
```
NdZn11Pd
1.0
2.6053 -6.3665 0.0000
2.6053 6.3665 0.0000
-2.5536 0.0000 6.3560
Nd Zn Pd
1 11 1
Direct
0.0000 0.0000 0.0000
0.0000 0.5000 0.0000
0.0093 0.6564 0.6441
0.2813 0.5028 0.7802
0.3436 0.9907 0.3559
0.4972 0.7187 0.2198
0.5000 0.0000 0.0000
0.5000 0.5000 0.5000
0.5028 0.2813 0.7802
0.6564 0.0093 0.6441
0.7187 0.4972 0.2198
0.9907 0.3436 0.3559
0.0000 0.0000 0.5000
```

=====

TbPm6SmDy2: optimized geometry, PBE-GGA.

Values from the calculation:
- Energy: -4.589 eV per atom
- Calculated formation energy: 0.12 eV per atom
- V: 338.6 Å³/f.u.

POSCAR file:
```
TbPm6SmDy2
1.0
4.6117 -7.6403 0.0000
4.6117 7.6403 0.0000
-1.3226 0.0000 9.6104
Tb Pm Sm Dy
2 12 2 4
Direct
0.0273 0.9727 0.7500
0.9727 0.0273 0.2500
0.0165 0.5669 0.6846
0.1156 0.7578 0.0550
0.2422 0.8844 0.4450
0.2931 0.5083 0.8801
0.4331 0.9835 0.8154
0.4917 0.7069 0.6199
0.5083 0.2931 0.3801
0.5669 0.0165 0.1846
0.7069 0.4917 0.1199
0.7578 0.1156 0.5550
0.8844 0.2422 0.9450
0.9835 0.4331 0.3154
0.4079 0.5921 0.2500
0.5921 0.4079 0.7500
0.1972 0.2957 0.5452
0.2957 0.1972 0.0452
0.7043 0.8028 0.9548
0.8028 0.7043 0.4548
```

=====

YMg2Cd2In2: optimized geometry, PBE-GGA.

Values from the calculation:
- Energy: -2.623 eV per atom
- Calculated formation energy: -0.20 eV per atom
- V: 173.8 Å³/f.u.

POSCAR file:
```
YMg2Cd2In2
1.0
2.4200 1.3972 8.5650
-2.4200 1.3972 8.5650
0.0000 -2.7944 8.5650
Y Mg Cd In
1 2 2 2
Direct
0.0000 0.0000 0.0000
0.1334 0.1334 0.1334
0.8666 0.8666 0.8666
0.2483 0.2483 0.2483
0.7517 0.7517 0.7517
0.3923 0.3923 0.3923
0.6077 0.6077 0.6077
```

=====

LiY2PtC: optimized geometry, PBE-GGA.

Values from the calculation:
- Energy above the most stable polymorph in this dataset: 1124 meV/atom
- Energy: -5.330 eV per atom
- Calculated formation energy: 0.69 eV per atom
- V: 122.8 Å³/f.u.

POSCAR file:
```
LiY2PtC
1.0
5.2984 0.0000 0.0000
0.0000 5.2984 0.0000
0.0000 0.0000 4.3753
Li Y Pt C
1 2 1 1
Direct
0.0000 0.0000 0.0000
0.0000 0.5000 0.5000
0.5000 0.0000 0.5000
0.0000 0.0000 0.5000
0.5000 0.5000 0.0000
```

=====

ZrCoN2: optimized geometry, PBE-GGA.

Values from the calculation:
- Energy: -7.775 eV per atom
- Raw formation energy: 0.301 eV/atom
- V: 48.6 Å³/f.u.

POSCAR file:
```
ZrCoN2
1.0
1.5530 0.8966 5.8126
-1.5530 0.8966 5.8126
0.0000 -1.7933 5.8126
Zr Co N
1 1 2
Direct
0.0000 0.0000 0.0000
0.5000 0.5000 0.5000
0.1194 0.1194 0.1194
0.8806 0.8806 0.8806
```

=====

SrSn3Rh2: optimized geometry, PBE-GGA.

Values from the calculation:
- Energy: -5.059 eV per atom
- Calculated formation energy: -0.33 eV per atom
- V: 141.3 Å³/f.u.

POSCAR file:
```
SrSn3Rh2
1.0
6.7107 0.0000 0.0000
-3.3553 5.8116 0.0000
0.0000 0.0000 7.2459
Sr Sn Rh
2 6 4
Direct
0.3333 0.6667 0.1540
0.6667 0.3333 0.8460
0.1676 0.3352 0.7603
0.1676 0.8324 0.7603
0.3352 0.1676 0.2397
0.6648 0.8324 0.7603
0.8324 0.1676 0.2397
0.8324 0.6648 0.2397
0.0000 0.0000 0.5000
0.0000 0.5000 0.5000
0.5000 0.0000 0.5000
0.5000 0.5000 0.5000
```

=====

Rb2NbHgS: optimized geometry, PBE-GGA.

Values from the calculation:
- Energy: -2.606 eV per atom
- Raw formation energy: 0.681 eV/atom
- V: 219.2 Å³/f.u.

POSCAR file:
```
Rb2NbHgS
1.0
6.5312 0.0000 0.0000
0.0000 6.5312 0.0000
0.0000 0.0000 5.1381
Rb Nb Hg S
2 1 1 1
Direct
0.0000 0.5000 0.0000
0.5000 0.0000 0.0000
0.0000 0.0000 0.5000
0.5000 0.5000 0.5000
0.5000 0.5000 0.0000
```

=====

NiSbTe2Cl: optimized geometry, PBE-GGA.

Values from the calculation:
- Energy above the most stable polymorph in this dataset: 995 meV/atom
- Energy: -2.391 eV per atom
- Raw formation energy: 1.215 eV/atom
- V: 153.9 Å³/f.u.

POSCAR file:
```
NiSbTe2Cl
1.0
5.4943 0.0000 0.0000
0.0000 5.4943 0.0000
0.0000 0.0000 5.0989
Ni Sb Te Cl
1 1 2 1
Direct
0.0000 0.0000 0.0000
0.5000 0.5000 0.0000
0.0000 0.5000 0.5000
0.5000 0.0000 0.5000
0.5000 0.5000 0.5000
```

=====

YTcTe4: optimized geometry, PBE-GGA.

Values from the calculation:
- Energy: -4.194 eV per atom
- Raw formation energy: 0.705 eV/atom
- V: 170.9 Å³/f.u.

POSCAR file:
```
YTcTe4
1.0
0.0000 4.4043 4.4043
4.4043 0.0000 4.4043
4.4043 4.4043 0.0000
Y Tc Te
1 1 4
Direct
0.0000 0.0000 0.0000
0.7500 0.7500 0.7500
0.3754 0.3754 0.3754
0.3754 0.3754 0.8738
0.3754 0.8738 0.3754
0.8738 0.3754 0.3754
```

=====

Ba4NiHg: optimized geometry, PBE-GGA.

Values from the calculation:
- Energy above the most stable polymorph in this dataset: 796 meV/atom
- Energy: -1.594 eV per atom
- Calculated formation energy: 0.70 eV per atom
- V: 258.3 Å³/f.u.

POSCAR file:
```
Ba4NiHg
1.0
0.0000 5.0545 5.0545
5.0545 0.0000 5.0545
5.0545 5.0545 0.0000
Ba Ni Hg
4 1 1
Direct
0.1255 0.1255 0.1255
0.1255 0.1255 0.6236
0.1255 0.6236 0.1255
0.6236 0.1255 0.1255
0.5000 0.5000 0.5000
0.7500 0.7500 0.7500
```

=====

ScFeRuW: optimized geometry, PBE-GGA.

Values from the calculation:
- Energy: -9.381 eV per atom
- Calculated formation energy: -0.13 eV per atom
- V: 59.9 Å³/f.u.

POSCAR file:
```
ScFeRuW
1.0
0.0000 3.1049 3.1049
3.1049 0.0000 3.1049
3.1049 3.1049 0.0000
Sc Fe Ru W
1 1 1 1
Direct
0.0000 0.0000 0.0000
0.7500 0.7500 0.7500
0.2500 0.2500 0.2500
0.5000 0.5000 0.5000
```

=====

KZn2F6: optimized geometry, PBE-GGA.

Values from the calculation:
- Energy: -3.861 eV per atom
- Raw formation energy: -2.208 eV/atom
- V: 143.5 Å³/f.u.

POSCAR file:
```
KZn2F6
1.0
5.3880 0.0000 0.0000
-2.6940 4.6661 0.0000
0.0000 0.0000 5.7094
K Zn F
1 2 6
Direct
0.0000 0.0000 0.0000
0.3333 0.6667 0.5000
0.6667 0.3333 0.5000
0.0000 0.3837 0.6959
0.0000 0.6163 0.3041
0.3837 0.0000 0.6959
0.3837 0.3837 0.3041
0.6163 0.0000 0.3041
0.6163 0.6163 0.6959
```

=====

Ba4Au2O: optimized geometry, PBE-GGA.

Values from the calculation:
- Energy above the most stable polymorph in this dataset: 246 meV/atom
- Energy: -3.611 eV per atom
- Raw formation energy: -0.867 eV/atom
- V: 267.7 Å³/f.u.

POSCAR file:
```
Ba4Au2O
1.0
-2.5720 2.5720 10.1163
2.5720 -2.5720 10.1163
2.5720 2.5720 -10.1163
Ba Au O
4 2 1
Direct
0.0000 0.5000 0.5000
0.1869 0.1869 0.0000
0.5000 0.0000 0.5000
0.8131 0.8131 0.0000
0.3478 0.3478 0.0000
0.6522 0.6522 0.0000
0.5000 0.5000 0.0000
```

=====

RbNaTeS3: optimized geometry, PBE-GGA.

Values from the calculation:
- Energy: -3.593 eV per atom
- Raw formation energy: -0.625 eV/atom
- V: 193.8 Å³/f.u.

POSCAR file:
```
RbNaTeS3
1.0
2.5558 -6.9839 0.0000
2.5558 6.9839 0.0000
0.0000 0.0000 10.8579
Rb Na Te S
2 2 2 6
Direct
0.2463 0.7537 0.7500
0.7537 0.2463 0.2500
0.0000 0.0000 0.0000
0.0000 0.0000 0.5000
0.4747 0.5253 0.2500
0.5253 0.4747 0.7500
0.0323 0.9677 0.2500
0.3696 0.6304 0.0798
0.3696 0.6304 0.4202
0.6304 0.3696 0.5798
0.6304 0.3696 0.9202
0.9677 0.0323 0.7500
```

=====

NaPr3Er2Se6: optimized geometry, PBE-GGA.

Values from the calculation:
- Energy: -5.565 eV per atom
- Raw formation energy: -1.758 eV/atom
- V: 308.6 Å³/f.u.

POSCAR file:
```
NaPr3Er2Se6
1.0
3.5821 -6.2157 0.0000
3.5821 6.2157 0.0000
-2.3944 0.0000 6.9307
Na Pr Er Se
1 3 2 6
Direct
0.0000 0.0000 0.0000
0.1615 0.8385 0.5000
0.5000 0.5000 0.5000
0.8385 0.1615 0.5000
0.3342 0.6658 0.0000
0.6658 0.3342 0.0000
0.0778 0.4161 0.2347
0.2602 0.2602 0.7724
0.4161 0.0778 0.2347
0.5839 0.9222 0.7653
0.7398 0.7398 0.2276
0.9222 0.5839 0.7653
```

=====

NbTcPd3: optimized geometry, PBE-GGA.

Values from the calculation:
- Energy above the most stable polymorph in this dataset: 0 meV/atom
- Energy: -5.841 eV per atom
- Calculated formation energy: 1.36 eV per atom
- V: 109.7 Å³/f.u.

POSCAR file:
```
NbTcPd3
1.0
4.7870 0.0000 0.0000
0.0000 4.7870 0.0000
0.0000 0.0000 4.7870
Nb Tc Pd
1 1 3
Direct
0.0000 0.0000 0.0000
0.5000 0.5000 0.5000
0.0000 0.0000 0.5000
0.0000 0.5000 0.0000
0.5000 0.0000 0.0000
```

=====

SrAc3P: optimized geometry, PBE-GGA.

Values from the calculation:
- Energy: -4.322 eV per atom
- Calculated formation energy: -0.44 eV per atom
- V: 220.4 Å³/f.u.

POSCAR file:
```
SrAc3P
1.0
6.0404 0.0000 0.0000
0.0000 6.0404 0.0000
0.0000 0.0000 6.0404
Sr Ac P
1 3 1
Direct
0.0000 0.0000 0.0000
0.0000 0.5000 0.5000
0.5000 0.0000 0.5000
0.5000 0.5000 0.0000
0.5000 0.5000 0.5000
```

=====

Pr2SmTm: optimized geometry, PBE-GGA.

Values from the calculation:
- Energy above the most stable polymorph in this dataset: 0 meV/atom
- Energy: -4.672 eV per atom
- Calculated formation energy: 0.02 eV per atom
- V: 135.4 Å³/f.u.

POSCAR file:
```
Pr2SmTm
1.0
1.8225 1.0522 11.7715
-1.8225 1.0522 11.7715
0.0000 -2.1044 11.7715
Pr Sm Tm
2 1 1
Direct
0.2486 0.2486 0.2486
0.7514 0.7514 0.7514
0.0000 0.0000 0.0000
0.5000 0.5000 0.5000
```

=====

Zn4Ga2Ag5: optimized geometry, PBE-GGA.

Values from the calculation:
- Energy above the most stable polymorph in this dataset: 67 meV/atom
- Energy: -2.244 eV per atom
- Calculated formation energy: 0.07 eV per atom
- V: 195.6 Å³/f.u.

POSCAR file:
```
Zn4Ga2Ag5
1.0
6.2310 -2.9676 0.0000
6.2310 2.9676 0.0000
-1.3633 0.0000 5.2883
Zn Ga Ag
4 2 5
Direct
0.0780 0.0780 0.3831
0.2676 0.2676 0.2666
0.7324 0.7324 0.7334
0.9220 0.9220 0.6169
0.2700 0.2700 0.7304
0.7300 0.7300 0.2696
0.1365 0.6629 0.0757
0.3371 0.8635 0.9243
0.5000 0.5000 0.5000
0.6629 0.1365 0.0757
0.8635 0.3371 0.9243
```

=====

| no. | Fermi-level density of states (states/eV per atom) |
| --- | --- |
| 1 | 0.434 |
| 2 | 0.371 |
| 3 | 1.461 |
| 4 | 0.346 |
| 5 | 0.741 |
| 6 | 0.738 |
| 7 | 0.778 |
| 8 | 0.947 |
| 9 | 1.869 |
| 10 | 0.712 |
| 11 | 1.480 |
| 12 | 0.659 |
| 13 | 0.719 |
| 14 | 0.479 |
| 15 | 0.002 |
| 16 | 0.424 |
| 17 | 1.103 |
| 18 | 1.612 |
| 19 | 1.129 |
| 20 | 0.209 |